1.
Density functional theory data (PBE) for a relaxed GaHSN crystal.

Output
D(E_F)   0.29 states/eV per atom
E   -4.59 eV per atom
ρ   3.8 g/cm³
Offset from the most stable computed form   0.363 eV per atom
Spin magnetization   0.00 μB per formula unit
Crystal system   triclinic

Geometry as CIF:
```
data_GaHSN
_chemical_formula_sum 'Ga1 H1 S1 N1'
_cell_length_a 3.313
_cell_length_b 3.325
_cell_length_c 5.576
_cell_angle_alpha 75.05
_cell_angle_beta 74.85
_cell_angle_gamma 60.23
_space_group_name_H-M_alt 'P 1'
_space_group_IT_number 1
loop_
_space_group_symop_operation_xyz
'x,y,z'
loop_
_atom_site_label
_atom_site_type_symbol
_atom_site_fract_x
_atom_site_fract_y
_atom_site_fract_z
_atom_site_occupancy
Ga1 Ga 0.000 0.000 0.000 1
H1 H 0.748 0.633 0.534 1
S1 S 0.980 0.158 0.549 1
N1 N 0.317 0.314 0.064 1
```


2.
Density functional theory data (PBE) for a relaxed GaH2SN crystal.

Output
D(E_F)   0.35 states/eV per atom
E   -3.61 eV per atom
ρ   4.0 g/cm³
Offset from the most stable computed form   0.422 eV per atom
Spin magnetization   0.00 μB per formula unit
Crystal system   tetragonal

Geometry as CIF:
```
data_GaH2SN
_chemical_formula_sum 'Ga1 H2 S1 N1'
_cell_length_a 3.235
_cell_length_b 3.235
_cell_length_c 4.647
_cell_angle_alpha 90.00
_cell_angle_beta 90.00
_cell_angle_gamma 90.00
_space_group_name_H-M_alt 'P 4/m m m'
_space_group_IT_number 123
_space_group_name_Hall '-P 4 2'
loop_
_atom_site_label
_atom_site_type_symbol
_atom_site_fract_x
_atom_site_fract_y
_atom_site_fract_z
_atom_site_occupancy
Ga1 Ga 0.000 0.000 0.000 1
H1 H 0.000 0.500 0.000 1
S1 S 0.500 0.500 0.500 1
N1 N 0.000 0.000 0.500 1
```


3.
Density functional theory data (PBE) for a relaxed GaHSN crystal.

Output
D(E_F)   0.31 states/eV per atom
E   -4.83 eV per atom
ρ   2.9 g/cm³
Offset from the most stable computed form   0.121 eV per atom
Spin magnetization   0.37 μB per formula unit
Crystal system   triclinic

Geometry as CIF:
```
data_GaHSN
_chemical_formula_sum 'Ga1 H1 S1 N1'
_cell_length_a 3.157
_cell_length_b 3.524
_cell_length_c 6.172
_cell_angle_alpha 98.66
_cell_angle_beta 96.24
_cell_angle_gamma 90.03
_space_group_name_H-M_alt 'P 1'
_space_group_IT_number 1
loop_
_space_group_symop_operation_xyz
'x,y,z'
loop_
_atom_site_label
_atom_site_type_symbol
_atom_site_fract_x
_atom_site_fract_y
_atom_site_fract_z
_atom_site_occupancy
Ga1 Ga 0.000 0.000 0.000 1
H1 H 0.429 0.835 0.679 1
S1 S 0.053 0.563 0.256 1
N1 N 0.466 0.967 0.839 1
```